# TeAuSe | Alexandria | PBE-GGA | relaxed
# raw formation energy	0.40	eV per atom
# ΔE to the lowest computed polymorph	0.432	eV per atom
data_TeAuSe
_symmetry_space_group_name_H-M 'I 4 m m'
_symmetry_Int_Tables_number 107
_symmetry_space_group_name_Hall 'I 4 -2'
_cell_length_a 3.4965
_cell_length_b 3.4965
_cell_length_c 10.9772
_cell_angle_alpha 90.00
_cell_angle_beta 90.00
_cell_angle_gamma 90.00
loop_
_atom_site_label
_atom_site_type_symbol
_atom_site_fract_x
_atom_site_fract_y
_atom_site_fract_z
_atom_site_occupancy
Te1 Te 0.0000 0.0000 0.0000 1
Au1 Au 0.0000 0.0000 0.3336 1
Se1 Se 0.0000 0.0000 0.6627 1


# FeH7Rh5 | Alexandria | PBE-GGA | relaxed
# DFT total energy	-5.234	eV/atom
data_FeH7Rh5
_symmetry_space_group_name_H-M 'P 1'
_symmetry_Int_Tables_number 1
_cell_length_a 2.8465
_cell_length_b 4.7729
_cell_length_c 15.2668
_cell_angle_alpha 89.65
_cell_angle_beta 89.27
_cell_angle_gamma 89.83
loop_
_symmetry_equiv_pos_as_xyz
'x,y,z'
loop_
_atom_site_label
_atom_site_type_symbol
_atom_site_fract_x
_atom_site_fract_y
_atom_site_fract_z
_atom_site_occupancy
Fe1 Fe 0.0000 0.0000 0.0000 1
Fe2 Fe 0.4799 0.0084 0.5002 1
H1 H 0.0310 0.7518 0.8878 1
H2 H 0.0333 0.2497 0.8909 1
H3 H 0.4547 0.8702 0.6108 1
H4 H 0.4751 0.7878 0.3880 1
H5 H 0.4777 0.1466 0.2739 1
H6 H 0.4936 0.3836 0.1696 1
H7 H 0.4997 0.7280 0.0462 1
H8 H 0.5113 0.2985 0.4015 1
H9 H 0.5338 0.2668 0.7649 1
H10 H 0.5705 0.7733 0.7499 1
H11 H 0.9864 0.3045 0.5405 1
H12 H 0.9894 0.3958 0.6710 1
H13 H 0.9910 0.7469 0.2345 1
H14 H 0.9939 0.1435 0.1082 1
Rh1 Rh 0.0252 0.5102 0.7818 1
Rh2 Rh 0.4825 0.4958 0.6009 1
Rh3 Rh 0.4895 0.9936 0.1644 1
Rh4 Rh 0.4922 0.5219 0.2783 1
Rh5 Rh 0.5077 0.0039 0.8491 1
Rh6 Rh 0.5086 0.4994 0.9487 1
Rh7 Rh 0.9470 0.0007 0.6701 1
Rh8 Rh 0.9688 0.0116 0.3450 1
Rh9 Rh 0.9960 0.5140 0.4425 1
Rh10 Rh 0.9964 0.5186 0.1052 1


# Hg2PdAu8 | Alexandria | PBE-GGA | relaxed
# DFT formation energy	0.099	eV/atom
data_Hg2PdAu8
_symmetry_space_group_name_H-M 'C 1 2/m 1'
_symmetry_Int_Tables_number 12
_cell_length_a 7.7911
_cell_length_b 14.6562
_cell_length_c 4.1621
_cell_angle_alpha 90.00
_cell_angle_beta 107.79
_cell_angle_gamma 90.00
loop_
_symmetry_equiv_pos_as_xyz
'x,y,z'
'-x,-y,-z'
'-x,y,-z'
'x,-y,z'
'x+1/2,y+1/2,z'
'-x+1/2,-y+1/2,-z'
'-x+1/2,y+1/2,-z'
'x+1/2,-y+1/2,z'
loop_
_atom_site_label
_atom_site_type_symbol
_atom_site_fract_x
_atom_site_fract_y
_atom_site_fract_z
_atom_site_occupancy
Hg1 Hg 0.0000 0.1830 0.0000 1
Pd1 Pd 0.0000 0.5000 0.5000 1
Au1 Au 0.0000 0.3095 0.5000 1
Au2 Au 0.1235 0.0000 0.3170 1
Au3 Au 0.1933 0.3993 0.1070 1


# VFe2PtC | Alexandria | PBE-GGA | relaxed
# DFT formation energy	-0.126	eV/atom
data_VFe2PtC
_symmetry_space_group_name_H-M 'P 4/m m m'
_symmetry_Int_Tables_number 123
_symmetry_space_group_name_Hall '-P 4 2'
_cell_length_a 3.8122
_cell_length_b 3.8122
_cell_length_c 3.9907
_cell_angle_alpha 90.00
_cell_angle_beta 90.00
_cell_angle_gamma 90.00
loop_
_atom_site_label
_atom_site_type_symbol
_atom_site_fract_x
_atom_site_fract_y
_atom_site_fract_z
_atom_site_occupancy
V1 V 0.0000 0.0000 0.0000 1
Fe1 Fe 0.0000 0.5000 0.5000 1
Pt1 Pt 0.5000 0.5000 0.0000 1
C1 C 0.0000 0.0000 0.5000 1


# LaPr2In4 | Alexandria | PBE-GGA | relaxed
# DFT formation energy	-0.307	eV/atom
data_LaPr2In4
_symmetry_space_group_name_H-M 'I 4/m m m'
_symmetry_Int_Tables_number 139
_symmetry_space_group_name_Hall '-I 4 2'
_cell_length_a 5.4828
_cell_length_b 5.4828
_cell_length_c 15.0369
_cell_angle_alpha 90.00
_cell_angle_beta 90.00
_cell_angle_gamma 90.00
loop_
_atom_site_label
_atom_site_type_symbol
_atom_site_fract_x
_atom_site_fract_y
_atom_site_fract_z
_atom_site_occupancy
La1 La 0.0000 0.0000 0.0000 1
Pr1 Pr 0.0000 0.0000 0.2573 1
In1 In 0.0000 0.5000 0.1162 1


# HfTiIr | Alexandria | PBE-GGA | relaxed
# ΔE to the lowest computed polymorph	0.257	eV per atom
# DFT formation energy	-0.519	eV/atom
data_HfTiIr
_symmetry_space_group_name_H-M 'F -4 3 m'
_symmetry_Int_Tables_number 216
_symmetry_space_group_name_Hall 'F -4 2 3'
_cell_length_a 6.2394
_cell_length_b 6.2394
_cell_length_c 6.2394
_cell_angle_alpha 90.00
_cell_angle_beta 90.00
_cell_angle_gamma 90.00
loop_
_atom_site_label
_atom_site_type_symbol
_atom_site_fract_x
_atom_site_fract_y
_atom_site_fract_z
_atom_site_occupancy
Hf1 Hf 0.0000 0.0000 0.0000 1
Ti1 Ti 0.0000 0.0000 0.5000 1
Ir1 Ir 0.2500 0.2500 0.7500 1


# NaSmPb6 | Alexandria | PBE-GGA | relaxed
# DFT formation energy	-0.231	eV/atom
data_NaSmPb6
_symmetry_space_group_name_H-M 'P 4/m m m'
_symmetry_Int_Tables_number 123
_symmetry_space_group_name_Hall '-P 4 2'
_cell_length_a 4.8647
_cell_length_b 4.8647
_cell_length_c 10.0149
_cell_angle_alpha 90.00
_cell_angle_beta 90.00
_cell_angle_gamma 90.00
loop_
_atom_site_label
_atom_site_type_symbol
_atom_site_fract_x
_atom_site_fract_y
_atom_site_fract_z
_atom_site_occupancy
Na1 Na 0.0000 0.0000 0.0000 1
Sm1 Sm 0.0000 0.0000 0.5000 1
Pb1 Pb 0.0000 0.5000 0.2469 1
Pb2 Pb 0.5000 0.5000 0.0000 1
Pb3 Pb 0.5000 0.5000 0.5000 1


# Ce2Nd3DyAs6 | Alexandria | PBE-GGA | relaxed
# DFT formation energy	-1.492	eV/atom
data_Ce2Nd3DyAs6
_symmetry_space_group_name_H-M 'C 1 2/m 1'
_symmetry_Int_Tables_number 12
_cell_length_a 7.3177
_cell_length_b 12.6736
_cell_length_c 7.3263
_cell_angle_alpha 90.00
_cell_angle_beta 109.44
_cell_angle_gamma 90.00
loop_
_symmetry_equiv_pos_as_xyz
'x,y,z'
'-x,-y,-z'
'-x,y,-z'
'x,-y,z'
'x+1/2,y+1/2,z'
'-x+1/2,-y+1/2,-z'
'-x+1/2,y+1/2,-z'
'x+1/2,-y+1/2,z'
loop_
_atom_site_label
_atom_site_type_symbol
_atom_site_fract_x
_atom_site_fract_y
_atom_site_fract_z
_atom_site_occupancy
Ce1 Ce 0.0000 0.1666 0.0000 1
Nd1 Nd 0.0000 0.0000 0.5000 1
Nd2 Nd 0.0000 0.3331 0.5000 1
Dy1 Dy 0.0000 0.5000 0.0000 1
As1 As 0.2468 0.3338 0.2420 1
As2 As 0.2488 0.0000 0.2431 1


# ZrTeP2 | Alexandria | PBE-GGA | relaxed
# raw formation energy	-0.03	eV per atom
# ΔE to the lowest computed polymorph	0.552	eV per atom
data_ZrTeP2
_symmetry_space_group_name_H-M 'P 4/m m m'
_symmetry_Int_Tables_number 123
_symmetry_space_group_name_Hall '-P 4 2'
_cell_length_a 4.7468
_cell_length_b 4.7468
_cell_length_c 3.3929
_cell_angle_alpha 90.00
_cell_angle_beta 90.00
_cell_angle_gamma 90.00
loop_
_atom_site_label
_atom_site_type_symbol
_atom_site_fract_x
_atom_site_fract_y
_atom_site_fract_z
_atom_site_occupancy
Zr1 Zr 0.0000 0.0000 0.0000 1
Te1 Te 0.5000 0.5000 0.0000 1
P1 P 0.0000 0.5000 0.5000 1


# Sm3YCl | Alexandria | PBE-GGA | relaxed
# raw formation energy	-0.49	eV per atom
data_Sm3YCl
_symmetry_space_group_name_H-M 'P m -3 m'
_symmetry_Int_Tables_number 221
_symmetry_space_group_name_Hall '-P 4 2 3'
_cell_length_a 5.3987
_cell_length_b 5.3987
_cell_length_c 5.3987
_cell_angle_alpha 90.00
_cell_angle_beta 90.00
_cell_angle_gamma 90.00
loop_
_atom_site_label
_atom_site_type_symbol
_atom_site_fract_x
_atom_site_fract_y
_atom_site_fract_z
_atom_site_occupancy
Sm1 Sm 0.0000 0.0000 0.5000 1
Y1 Y 0.5000 0.5000 0.5000 1
Cl1 Cl 0.0000 0.0000 0.0000 1


# ScCu2Pd3 | Alexandria | PBE-GGA | relaxed
# ΔE to the lowest computed polymorph	0.228	eV per atom
# DFT formation energy	-0.253	eV/atom
data_ScCu2Pd3
_symmetry_space_group_name_H-M 'C 1 2/m 1'
_symmetry_Int_Tables_number 12
_cell_length_a 15.8305
_cell_length_b 3.1095
_cell_length_c 8.7724
_cell_angle_alpha 90.00
_cell_angle_beta 117.25
_cell_angle_gamma 90.00
loop_
_symmetry_equiv_pos_as_xyz
'x,y,z'
'-x,-y,-z'
'-x,y,-z'
'x,-y,z'
'x+1/2,y+1/2,z'
'-x+1/2,-y+1/2,-z'
'-x+1/2,y+1/2,-z'
'x+1/2,-y+1/2,z'
loop_
_atom_site_label
_atom_site_type_symbol
_atom_site_fract_x
_atom_site_fract_y
_atom_site_fract_z
_atom_site_occupancy
Sc1 Sc 0.1122 0.0000 0.2461 1
Cu1 Cu 0.0558 0.5000 0.9397 1
Cu2 Cu 0.1868 0.0000 0.9847 1
Pd1 Pd 0.0449 0.0000 0.6839 1
Pd2 Pd 0.1167 0.5000 0.4947 1
Pd3 Pd 0.2482 0.0000 0.7484 1


# ZrIr2Cl | Alexandria | PBE-GGA | relaxed
# raw formation energy	-0.25	eV per atom
# ΔE to the lowest computed polymorph	0.065	eV per atom
data_ZrIr2Cl
_symmetry_space_group_name_H-M 'P 1 m 1'
_symmetry_Int_Tables_number 6
_cell_length_a 2.9832
_cell_length_b 3.8034
_cell_length_c 7.8819
_cell_angle_alpha 90.00
_cell_angle_beta 99.83
_cell_angle_gamma 90.00
loop_
_symmetry_equiv_pos_as_xyz
'x,y,z'
'x,-y,z'
loop_
_atom_site_label
_atom_site_type_symbol
_atom_site_fract_x
_atom_site_fract_y
_atom_site_fract_z
_atom_site_occupancy
Zr1 Zr 0.0000 0.0000 0.0000 1
Ir1 Ir 0.3965 0.5000 0.7708 1
Ir2 Ir 0.8496 0.0000 0.6668 1
Cl1 Cl 0.5919 0.5000 0.2055 1


no.,spin magnetization (μB per cell)
1,0.00
2,8.49
3,0.00
4,3.09
5,0.00
6,0.00
7,0.00
8,2.25
9,0.00
10,0.00
11,0.00
12,0.00